(1)
The following is a DFT calculation (PBE-GGA) of a geometry-optimized CrGaCuOs structure.

The structure in POSCAR format:
```
CrGaCuOs
1.0
-3.8272 1.7094 0.5046
-2.7450 0.0145 -3.2076
-3.4168 -2.4762 0.1344
Cr Os Cu Ga
1 1 1 1
Direct
0.0000 0.0000 0.0000 Cr
0.2500 0.2500 0.2500 Os
0.7500 0.7500 0.7500 Cu
0.5000 0.5000 0.5000 Ga
```

Output
E: -6.875 eV/atom
crystal system: cubic
formation energy: 0.119 eV per atom

(2)
The following is a DFT calculation (PBE-GGA) of a geometry-optimized AlTcMo2 structure.

The structure in POSCAR format:
```
AlTcMo2
1.0
-1.6681 1.1848 1.7945
2.1457 -1.0548 1.3000
4.3286 7.5891 -0.9871
Mo Tc Al
2 1 1
Direct
0.0000 0.0000 0.0002 Mo
0.0000 0.0000 0.4998 Mo
0.5000 0.5000 0.2500 Tc
0.5000 0.5000 0.7500 Al
```

Output
E: -8.944 eV/atom
crystal system: orthorhombic
formation energy: -0.002 eV per atom

(3)
The following is a DFT calculation (PBE-GGA) of a geometry-optimized La3TmIn2 structure.

The structure in POSCAR format:
```
La3TmIn2
1.0
-1.4843 4.7635 -1.9320
-2.6885 -3.0868 -5.5455
-9.0481 -0.8486 4.8589
La Tm In
6 2 4
Direct
0.0000 0.4481 0.9591 La
0.0000 0.9481 0.0409 La
0.5000 0.6976 0.1868 La
0.5000 0.1976 0.8132 La
0.0000 0.3088 0.3265 La
0.0000 0.8088 0.6735 La
0.5000 0.5398 0.5397 Tm
0.5000 0.0398 0.4603 Tm
0.5000 0.7080 0.8554 In
0.5000 0.2080 0.1446 In
0.0000 0.2976 0.6370 In
0.0000 0.7976 0.3630 In
```

Output
E: -4.478 eV/atom
crystal system: orthorhombic
energy above the most stable polymorph in this dataset: 0 meV per atom
formation energy: -0.356 eV per atom

(4)
The following is a DFT calculation (PBE-GGA) of a geometry-optimized Pm2HoEr6Sc3 structure.

The structure in POSCAR format:
```
Pm2HoEr6Sc3
1.0
6.0317 0.0000 0.0004
-3.0143 5.2244 0.0004
-1.0057 -1.7413 11.2712
Pm Ho Er Sc
2 1 6 3
Direct
0.3332 0.6668 0.0000 Pm
0.6668 0.3332 0.0000 Pm
0.0000 0.0000 0.0000 Ho
0.9130 0.5801 0.7393 Er
0.7541 0.7541 0.2606 Er
0.0870 0.4199 0.2607 Er
0.5801 0.9130 0.7393 Er
0.2459 0.2459 0.7394 Er
0.4199 0.0870 0.2607 Er
0.1664 0.8336 0.5000 Sc
0.8336 0.1664 0.5000 Sc
0.5000 0.5000 0.5000 Sc
```

Output
E: -4.993 eV/atom
crystal system: monoclinic
formation energy: 0.045 eV per atom

(5)
The following is a DFT calculation (PBE-GGA) of a geometry-optimized HS2Cl structure.

The structure in POSCAR format:
```
HS2Cl
1.0
0.0000 3.1138 3.1138
3.1138 0.0000 3.1138
3.1138 3.1138 0.0000
H S Cl
1 2 1
Direct
0.0000 0.0000 0.0000 H
0.2500 0.2500 0.2500 S
0.7500 0.7500 0.7500 S
0.5000 0.5000 0.5000 Cl
```

Output
E: -1.854 eV/atom
crystal system: cubic
energy above the most stable polymorph in this dataset: 1405 meV per atom

(6)
The following is a DFT calculation (PBE-GGA) of a geometry-optimized Mn2RhBr structure.

The structure in POSCAR format:
```
Mn2RhBr
1.0
-2.4216 -3.1359 1.5280
-4.1567 -0.0864 -0.8643
-1.5618 -2.9489 -2.6264
Mn Rh Br
2 1 1
Direct
0.2500 0.2500 0.2500 Mn
0.7500 0.7500 0.7500 Mn
0.5000 0.5000 0.5000 Rh
0.0000 0.0000 0.0000 Br
```

Output
E: -5.916 eV/atom
crystal system: cubic
formation energy from raw total energies: 0.92 eV per atom
energy above the most stable polymorph in this dataset: 888 meV per atom

(7)
The following is a DFT calculation (PBE-GGA) of a geometry-optimized ErBi2Pd8 structure.

The structure in POSCAR format:
```
ErBi2Pd8
1.0
-3.1718 1.7379 1.8795
-4.7552 -5.9037 -2.5658
5.2415 -1.2050 5.5401
Er Bi Pd
1 2 8
Direct
0.5000 0.0000 0.0000 Er
0.1638 0.6638 0.3276 Bi
0.8362 0.3362 0.6724 Bi
0.6662 0.9101 0.3325 Pd
0.3338 0.5776 0.6675 Pd
0.1584 0.1584 0.3168 Pd
0.0000 0.2595 0.0000 Pd
0.8416 0.8416 0.6832 Pd
0.6662 0.4224 0.3325 Pd
0.3338 0.0899 0.6675 Pd
0.0000 0.7405 0.0000 Pd
```

Output
E: -5.354 eV/atom
crystal system: orthorhombic
energy above the most stable polymorph in this dataset: 4 meV per atom
formation energy: -0.457 eV per atom

(8)
The following is a DFT calculation (PBE-GGA) of a geometry-optimized ZnCuRe2 structure.

The structure in POSCAR format:
```
ZnCuRe2
1.0
2.9927 0.0000 0.0000
0.0000 2.9927 0.0000
0.0000 0.0000 6.4224
Cu Re Zn
1 2 1
Direct
0.5000 0.5000 0.7342 Cu
0.0000 0.0000 0.0096 Re
0.5000 0.5000 0.2354 Re
0.0000 0.0000 0.5208 Zn
```

Output
E: -7.394 eV/atom
crystal system: tetragonal
energy above the most stable polymorph in this dataset: 114 meV per atom
formation energy: 0.173 eV per atom

(9)
The following is a DFT calculation (PBE-GGA) of a geometry-optimized Ba2TlBr5 structure.

The structure in POSCAR format:
```
Ba2TlBr5
1.0
5.2404 0.0000 0.0000
0.0000 11.5315 0.0000
0.0000 0.0000 23.5835
Ba Tl Br
8 4 20
Direct
0.7500 0.3775 0.4147 Ba
0.7500 0.3772 0.7464 Ba
0.2500 0.1228 0.2464 Ba
0.2500 0.1225 0.9147 Ba
0.7500 0.8775 0.0853 Ba
0.7500 0.8772 0.7536 Ba
0.2500 0.6228 0.2536 Ba
0.2500 0.6225 0.5853 Ba
0.7500 0.3742 0.0633 Tl
0.2500 0.1258 0.5633 Tl
0.7500 0.8742 0.4367 Tl
0.2500 0.6258 0.9367 Tl
0.2500 0.3695 0.3156 Br
0.2500 0.3637 0.9882 Br
0.2500 0.4033 0.8271 Br
0.2500 0.3876 0.4926 Br
0.7500 0.1380 0.1608 Br
0.2500 0.3620 0.6608 Br
0.7500 0.1124 0.9926 Br
0.7500 0.0967 0.3271 Br
0.7500 0.1363 0.4882 Br
0.7500 0.1305 0.8156 Br
0.2500 0.8695 0.1844 Br
0.2500 0.8637 0.5118 Br
0.2500 0.9033 0.6729 Br
0.2500 0.8876 0.0074 Br
0.7500 0.6380 0.3392 Br
0.2500 0.8620 0.8392 Br
0.7500 0.6124 0.5074 Br
0.7500 0.5967 0.1729 Br
0.7500 0.6363 0.0118 Br
0.7500 0.6305 0.6844 Br
```

Output
E: -3.632 eV/atom
crystal system: orthorhombic
formation energy from raw total energies: -1.81 eV per atom

(10)
The following is a DFT calculation (PBE-GGA) of a geometry-optimized Pr4DyIn3 structure.

The structure in POSCAR format:
```
Pr4DyIn3
1.0
5.3136 0.0000 1.5685
2.4253 4.7278 1.5685
0.0009 0.0005 9.7816
Pr In Dy
4 3 1
Direct
0.8692 0.8692 0.3924 Pr
0.3820 0.3820 0.8540 Pr
0.1308 0.1308 0.6076 Pr
0.6180 0.6180 0.1460 Pr
0.2588 0.2588 0.2235 In
0.7412 0.7412 0.7765 In
0.5000 0.5000 0.5000 In
0.0000 0.0000 0.0000 Dy
```

Output
E: -4.317 eV/atom
crystal system: trigonal
energy above the most stable polymorph in this dataset: 0 meV per atom
formation energy: -0.325 eV per atom

(11)
The following is a DFT calculation (PBE-GGA) of a geometry-optimized Cs2NpNiS4 structure.

The structure in POSCAR format:
```
Cs2NpNiS4
1.0
-0.3288 2.1179 -5.6917
5.2760 -3.2556 -4.7656
-8.6604 -8.3195 -5.8448
Cs Np Ni S
4 2 2 8
Direct
0.1783 0.0000 0.6435 Cs
0.8217 0.0000 0.3565 Cs
0.5717 0.5000 0.8565 Cs
0.9283 0.5000 0.1435 Cs
0.7500 0.5000 0.5000 Np
0.0000 0.0000 0.0000 Np
0.2500 0.5000 0.5000 Ni
0.5000 0.0000 0.0000 Ni
0.3248 0.8138 0.0967 S
0.2353 0.1862 0.9033 S
0.8614 0.8138 0.9033 S
0.5785 0.1862 0.0967 S
0.4252 0.6862 0.4033 S
0.5147 0.3138 0.5967 S
0.8886 0.6862 0.5967 S
0.1715 0.3138 0.4033 S
```

Output
E: -5.512 eV/atom
crystal system: orthorhombic
formation energy from raw total energies: -0.89 eV per atom

(12)
The following is a DFT calculation (PBE-GGA) of a geometry-optimized LaRe2Te structure.

The structure in POSCAR format:
```
LaRe2Te
1.0
9.4210 0.0645 0.0380
8.8598 3.2037 0.0380
8.8598 1.5839 2.7850
La Re Te
1 2 1
Direct
0.7500 0.7500 0.7500 La
0.9891 0.9891 0.9891 Re
0.5109 0.5109 0.5109 Re
0.2500 0.2500 0.2500 Te
```

Output
E: -7.283 eV/atom
crystal system: trigonal
formation energy from raw total energies: 0.96 eV per atom